No. 1
{"formula": "Li8Zn5Cd", "functional": "GGA-PBE", "state": "relaxed", "lattice_angstrom": [[-3.8582, 3.8582, 4.0146], [3.8582, -3.8582, 4.0146], [3.8582, 3.8582, -4.0146]], "species": ["Li", "Li", "Li", "Li", "Li", "Li", "Li", "Li", "Zn", "Zn", "Zn", "Zn", "Zn", "Cd"], "fractional_positions": [[0.1788, 0.3982, 0.5721], [0.3314, 0.2291, 0.2368], [0.3933, 0.8212, 0.2194], [0.6018, 0.1740, 0.7806], [0.7709, 0.0077, 0.1023], [0.8260, 0.6067, 0.4279], [0.9053, 0.6686, 0.8977], [0.9923, 0.0947, 0.7632], [0.0574, 0.4706, 0.1921], [0.1346, 0.9426, 0.4132], [0.2785, 0.8654, 0.8079], [0.5294, 0.7215, 0.5868], [0.7500, 0.2500, 0.5000], [0.5000, 0.5000, 0.0000]], "e_tot_ev_per_atom": -1.672}

---

No. 2
{"formula": "Tl4SiHg", "functional": "GGA-PBE", "state": "relaxed", "lattice_angstrom": [[0.0000, 4.5050, 4.5050], [4.5050, 0.0000, 4.5050], [4.5050, 4.5050, 0.0000]], "species": ["Tl", "Tl", "Tl", "Tl", "Si", "Hg"], "fractional_positions": [[0.1255, 0.1255, 0.1255], [0.1255, 0.1255, 0.6235], [0.1255, 0.6235, 0.1255], [0.6235, 0.1255, 0.1255], [0.5000, 0.5000, 0.5000], [0.7500, 0.7500, 0.7500]], "e_tot_ev_per_atom": -2.086, "e_form_raw_ev_per_atom": 0.446}

---

No. 3
{"formula": "TlCuPb2", "functional": "GGA-PBE", "state": "relaxed", "lattice_angstrom": [[-2.3114, 2.3114, 4.9747], [2.3114, -2.3114, 4.9747], [2.3114, 2.3114, -4.9747]], "species": ["Tl", "Cu", "Pb", "Pb"], "fractional_positions": [[0.0000, 0.0000, 0.0000], [0.2500, 0.7500, 0.5000], [0.5000, 0.5000, 0.0000], [0.7500, 0.2500, 0.5000]], "e_tot_ev_per_atom": -3.192}

---

No. 4
{"formula": "SrFe2Mo", "functional": "GGA-PBE", "state": "relaxed", "lattice_angstrom": [[0.0000, 3.2346, 3.2346], [3.2346, 0.0000, 3.2346], [3.2346, 3.2346, 0.0000]], "species": ["Sr", "Fe", "Fe", "Mo"], "fractional_positions": [[0.0000, 0.0000, 0.0000], [0.5000, 0.5000, 0.5000], [0.7500, 0.7500, 0.7500], [0.2500, 0.2500, 0.2500]], "e_above_lowest_polymorph_kj_per_mol_atoms": 58.2, "e_tot_ev_per_atom": -6.292}

---

No. 5
{"formula": "KFeBi3", "functional": "GGA-PBE", "state": "relaxed", "lattice_angstrom": [[5.8511, 0.0000, 0.0000], [0.0000, 5.8511, 0.0000], [0.0000, 0.0000, 5.8511]], "species": ["K", "Fe", "Bi", "Bi", "Bi"], "fractional_positions": [[0.0000, 0.0000, 0.0000], [0.5000, 0.5000, 0.5000], [0.0000, 0.0000, 0.5000], [0.0000, 0.5000, 0.0000], [0.5000, 0.0000, 0.0000]], "e_above_lowest_polymorph_kj_per_mol_atoms": 166.3, "e_tot_ev_per_atom": -2.259}

---

No. 6
{"formula": "AgSb2", "functional": "GGA-PBE", "state": "relaxed", "lattice_angstrom": [[4.4170, 0.0000, 0.0000], [0.0000, 8.2225, 0.0000], [0.0000, 0.0000, 4.6979]], "species": ["Ag", "Ag", "Sb", "Sb", "Sb", "Sb"], "fractional_positions": [[0.0000, 0.0000, 0.0000], [0.5000, 0.5000, 0.5000], [0.2344, 0.3774, 0.0000], [0.2656, 0.8774, 0.5000], [0.7344, 0.1226, 0.5000], [0.7656, 0.6226, 0.0000]], "e_tot_ev_per_atom": -3.573, "e_form_raw_ev_per_atom": 0.126}

---

Repeat the fourth record exactly.
{"formula": "SrFe2Mo", "functional": "GGA-PBE", "state": "relaxed", "lattice_angstrom": [[0.0000, 3.2346, 3.2346], [3.2346, 0.0000, 3.2346], [3.2346, 3.2346, 0.0000]], "species": ["Sr", "Fe", "Fe", "Mo"], "fractional_positions": [[0.0000, 0.0000, 0.0000], [0.5000, 0.5000, 0.5000], [0.7500, 0.7500, 0.7500], [0.2500, 0.2500, 0.2500]], "e_above_lowest_polymorph_kj_per_mol_atoms": 58.2, "e_tot_ev_per_atom": -6.292}